Entry 1:
Material: MgTcMo2
Method: DFT, PBE
State: relaxed

VASP energy in eV per atom: -8.244
DOS(E_F) in states/eV/atom: 1.04
Total magnetization in μB/f.u.: 0.0
Calculated formation energy in eV/atom: 0.1614
Symmetry: No. 71

Structure (CIF):
```
data_MgTcMo2
_cell_length_a 5.298
_cell_length_b 5.298
_cell_length_c 5.298
_cell_angle_alpha 145.63
_cell_angle_beta 130.15
_cell_angle_gamma 61.95
_symmetry_space_group_name_H-M 'P 1'
_symmetry_Int_Tables_number 1
loop_
_symmetry_equiv_pos_as_xyz
'x,y,z'
loop_
_atom_site_label
_atom_site_fract_x
_atom_site_fract_y
_atom_site_fract_z
Mg1 0.250 0.750 0.500
Mo1 0.983 0.983 0.000
Mo2 0.517 0.517 0.000
Tc1 0.750 0.250 0.500
```

---

Entry 2:
Material: MgTcMo2
Method: DFT, PBE
State: relaxed

VASP energy in eV per atom: -8.079
DOS(E_F) in states/eV/atom: 0.91
Total magnetization in μB/f.u.: 0.0
Calculated formation energy in eV/atom: 0.3270
Symmetry: No. 25

Structure (CIF):
```
data_MgTcMo2
_cell_length_a 2.623
_cell_length_b 4.471
_cell_length_c 5.438
_cell_angle_alpha 90.00
_cell_angle_beta 90.00
_cell_angle_gamma 90.00
_symmetry_space_group_name_H-M 'P 1'
_symmetry_Int_Tables_number 1
loop_
_symmetry_equiv_pos_as_xyz
'x,y,z'
loop_
_atom_site_label
_atom_site_fract_x
_atom_site_fract_y
_atom_site_fract_z
Mg1 0.500 0.500 0.747
Mo1 0.000 0.000 0.996
Mo2 0.500 0.500 0.250
Tc1 0.000 0.000 0.507
```

---

Entry 3:
Material: MgTcMo3
Method: DFT, PBE
State: relaxed

ΔE to the lowest computed polymorph in meV per atom: 0
VASP energy in eV per atom: -7.490
DOS(E_F) in states/eV/atom: 1.32
Total magnetization in μB/f.u.: 0.0
Calculated formation energy in eV/atom: 1.4011
Symmetry: No. 221

Structure (CIF):
```
data_MgTcMo3
_cell_length_a 4.728
_cell_length_b 4.728
_cell_length_c 4.728
_cell_angle_alpha 90.00
_cell_angle_beta 90.00
_cell_angle_gamma 90.00
_symmetry_space_group_name_H-M 'P 1'
_symmetry_Int_Tables_number 1
loop_
_symmetry_equiv_pos_as_xyz
'x,y,z'
loop_
_atom_site_label
_atom_site_fract_x
_atom_site_fract_y
_atom_site_fract_z
Mg1 0.500 0.500 0.500
Mo1 0.000 0.500 0.000
Mo2 0.000 0.000 0.500
Mo3 0.500 0.000 0.000
Tc1 0.000 0.000 0.000
```

---

Entry 4:
Material: MgTcMo2
Method: DFT, PBE
State: relaxed

VASP energy in eV per atom: -8.086
DOS(E_F) in states/eV/atom: 1.21
Total magnetization in μB/f.u.: 0.0
Calculated formation energy in eV/atom: 0.3198
Symmetry: No. 47

Structure (CIF):
```
data_MgTcMo2
_cell_length_a 3.250
_cell_length_b 4.345
_cell_length_c 4.454
_cell_angle_alpha 90.00
_cell_angle_beta 90.00
_cell_angle_gamma 90.00
_symmetry_space_group_name_H-M 'P 1'
_symmetry_Int_Tables_number 1
loop_
_symmetry_equiv_pos_as_xyz
'x,y,z'
loop_
_atom_site_label
_atom_site_fract_x
_atom_site_fract_y
_atom_site_fract_z
Mg1 0.000 0.500 0.500
Mo1 0.000 0.000 0.000
Mo2 0.500 0.500 0.000
Tc1 0.500 0.000 0.500
```

---

Entry 5:
Material: MgTcMo2
Method: DFT, PBE
State: relaxed

VASP energy in eV per atom: -8.021
DOS(E_F) in states/eV/atom: 0.99
Total magnetization in μB/f.u.: 0.0
Calculated formation energy in eV/atom: 0.3844
Symmetry: No. 119

Structure (CIF):
```
data_MgTcMo2
_cell_length_a 4.868
_cell_length_b 4.868
_cell_length_c 4.868
_cell_angle_alpha 131.40
_cell_angle_beta 131.40
_cell_angle_gamma 71.18
_symmetry_space_group_name_H-M 'P 1'
_symmetry_Int_Tables_number 1
loop_
_symmetry_equiv_pos_as_xyz
'x,y,z'
loop_
_atom_site_label
_atom_site_fract_x
_atom_site_fract_y
_atom_site_fract_z
Mg1 0.750 0.250 0.500
Mo1 0.000 0.000 0.000
Mo2 0.250 0.750 0.500
Tc1 0.500 0.500 0.000
```

---

Entry 6:
Material: MgTcMo2
Method: DFT, PBE
State: relaxed

VASP energy in eV per atom: -7.690
DOS(E_F) in states/eV/atom: 1.19
Total magnetization in μB/f.u.: 0.0
Calculated formation energy in eV/atom: 0.7161
Symmetry: No. 122

Structure (CIF):
```
data_MgTcMo2
_cell_length_a 7.331
_cell_length_b 7.331
_cell_length_c 5.833
_cell_angle_alpha 51.06
_cell_angle_beta 51.06
_cell_angle_gamma 90.00
_symmetry_space_group_name_H-M 'P 1'
_symmetry_Int_Tables_number 1
loop_
_symmetry_equiv_pos_as_xyz
'x,y,z'
loop_
_atom_site_label
_atom_site_fract_x
_atom_site_fract_y
_atom_site_fract_z
Mg1 0.500 0.500 0.000
Mg2 0.250 0.750 0.500
Mo1 0.671 0.125 0.250
Mo2 0.079 0.625 0.250
Mo3 0.375 0.329 0.750
Mo4 0.875 0.921 0.750
Tc1 0.000 0.000 0.000
Tc2 0.750 0.250 0.500
```

---

Entry 7:
Material: Mg2TcMo
Method: DFT, PBE
State: relaxed

ΔE to the lowest computed polymorph in meV per atom: 338
VASP energy in eV per atom: -5.697
DOS(E_F) in states/eV/atom: 1.10
Total magnetization in μB/f.u.: 0.8
Calculated formation energy in eV/atom: 0.3991
Symmetry: No. 166

Structure (CIF):
```
data_Mg2TcMo
_cell_length_a 9.722
_cell_length_b 9.722
_cell_length_c 9.722
_cell_angle_alpha 16.79
_cell_angle_beta 16.79
_cell_angle_gamma 16.79
_symmetry_space_group_name_H-M 'P 1'
_symmetry_Int_Tables_number 1
loop_
_symmetry_equiv_pos_as_xyz
'x,y,z'
loop_
_atom_site_label
_atom_site_fract_x
_atom_site_fract_y
_atom_site_fract_z
Mg1 0.002 0.002 0.002
Mg2 0.498 0.498 0.498
Mo1 0.250 0.250 0.250
Tc1 0.750 0.750 0.750
```

---

Entry 8:
Material: MgTcMo2
Method: DFT, PBE
State: relaxed

VASP energy in eV per atom: -8.136
DOS(E_F) in states/eV/atom: 0.57
Total magnetization in μB/f.u.: 0.0
Calculated formation energy in eV/atom: 0.2699
Symmetry: No. 166

Structure (CIF):
```
data_MgTcMo2
_cell_length_a 9.571
_cell_length_b 9.571
_cell_length_c 9.571
_cell_angle_alpha 16.94
_cell_angle_beta 16.94
_cell_angle_gamma 16.94
_symmetry_space_group_name_H-M 'P 1'
_symmetry_Int_Tables_number 1
loop_
_symmetry_equiv_pos_as_xyz
'x,y,z'
loop_
_atom_site_label
_atom_site_fract_x
_atom_site_fract_y
_atom_site_fract_z
Mg1 0.750 0.750 0.750
Mo1 0.994 0.994 0.994
Mo2 0.506 0.506 0.506
Tc1 0.250 0.250 0.250
```

---

Entry 9:
Material: Mg2TcMo
Method: DFT, PBE
State: relaxed

ΔE to the lowest computed polymorph in meV per atom: 207
VASP energy in eV per atom: -5.829
DOS(E_F) in states/eV/atom: 0.89
Total magnetization in μB/f.u.: 0.0
Calculated formation energy in eV/atom: 0.2680
Symmetry: No. 47

Structure (CIF):
```
data_Mg2TcMo
_cell_length_a 3.347
_cell_length_b 4.243
_cell_length_c 4.642
_cell_angle_alpha 90.00
_cell_angle_beta 90.00
_cell_angle_gamma 90.00
_symmetry_space_group_name_H-M 'P 1'
_symmetry_Int_Tables_number 1
loop_
_symmetry_equiv_pos_as_xyz
'x,y,z'
loop_
_atom_site_label
_atom_site_fract_x
_atom_site_fract_y
_atom_site_fract_z
Mg1 0.000 0.000 0.000
Mg2 0.500 0.500 0.000
Mo1 0.500 0.000 0.500
Tc1 0.000 0.500 0.500
```

---

Entry 10:
Material: Mg2TcMo
Method: DFT, PBE
State: relaxed

ΔE to the lowest computed polymorph in meV per atom: 159
VASP energy in eV per atom: -5.877
DOS(E_F) in states/eV/atom: 0.70
Total magnetization in μB/f.u.: 0.0
Calculated formation energy in eV/atom: 0.2193
Symmetry: No. 44

Structure (CIF):
```
data_Mg2TcMo
_cell_length_a 5.249
_cell_length_b 5.249
_cell_length_c 5.249
_cell_angle_alpha 142.79
_cell_angle_beta 126.19
_cell_angle_gamma 67.24
_symmetry_space_group_name_H-M 'P 1'
_symmetry_Int_Tables_number 1
loop_
_symmetry_equiv_pos_as_xyz
'x,y,z'
loop_
_atom_site_label
_atom_site_fract_x
_atom_site_fract_y
_atom_site_fract_z
Mg1 0.012 0.012 0.000
Mg2 0.743 0.243 0.500
Mo1 0.473 0.473 0.000
Tc1 0.272 0.772 0.500
```

---

Entry 11:
Material: Mg2TcMo
Method: DFT, PBE
State: relaxed

ΔE to the lowest computed polymorph in meV per atom: 262
VASP energy in eV per atom: -5.774
DOS(E_F) in states/eV/atom: 1.10
Total magnetization in μB/f.u.: 0.0
Calculated formation energy in eV/atom: 0.3230
Symmetry: No. 123

Structure (CIF):
```
data_Mg2TcMo
_cell_length_a 2.695
_cell_length_b 2.695
_cell_length_c 9.108
_cell_angle_alpha 90.00
_cell_angle_beta 90.00
_cell_angle_gamma 90.00
_symmetry_space_group_name_H-M 'P 1'
_symmetry_Int_Tables_number 1
loop_
_symmetry_equiv_pos_as_xyz
'x,y,z'
loop_
_atom_site_label
_atom_site_fract_x
_atom_site_fract_y
_atom_site_fract_z
Mg1 0.000 0.000 0.997
Mg2 0.000 0.000 0.503
Mo1 0.500 0.500 0.250
Tc1 0.500 0.500 0.750
```

---

Entry 12:
Material: Mg2TcMo
Method: DFT, PBE
State: relaxed

ΔE to the lowest computed polymorph in meV per atom: 211
VASP energy in eV per atom: -5.825
DOS(E_F) in states/eV/atom: 0.66
Total magnetization in μB/f.u.: 0.0
Calculated formation energy in eV/atom: 0.2713
Symmetry: No. 12

Structure (CIF):
```
data_Mg2TcMo
_cell_length_a 5.372
_cell_length_b 5.372
_cell_length_c 2.693
_cell_angle_alpha 83.58
_cell_angle_beta 83.58
_cell_angle_gamma 119.71
_symmetry_space_group_name_H-M 'P 1'
_symmetry_Int_Tables_number 1
loop_
_symmetry_equiv_pos_as_xyz
'x,y,z'
loop_
_atom_site_label
_atom_site_fract_x
_atom_site_fract_y
_atom_site_fract_z
Mg1 0.000 0.000 0.000
Mg2 0.500 0.500 0.000
Mo1 0.500 0.000 0.500
Tc1 0.000 0.500 0.500
```

---

Entry 13:
Material: Mg2TcMo
Method: DFT, PBE
State: relaxed

ΔE to the lowest computed polymorph in meV per atom: 225
VASP energy in eV per atom: -5.810
DOS(E_F) in states/eV/atom: 0.40
Total magnetization in μB/f.u.: 0.0
Calculated formation energy in eV/atom: 0.2862
Symmetry: No. 47

Structure (CIF):
```
data_Mg2TcMo
_cell_length_a 2.684
_cell_length_b 4.561
_cell_length_c 5.375
_cell_angle_alpha 90.00
_cell_angle_beta 90.00
_cell_angle_gamma 90.00
_symmetry_space_group_name_H-M 'P 1'
_symmetry_Int_Tables_number 1
loop_
_symmetry_equiv_pos_as_xyz
'x,y,z'
loop_
_atom_site_label
_atom_site_fract_x
_atom_site_fract_y
_atom_site_fract_z
Mg1 0.000 0.000 0.998
Mg2 0.000 0.000 0.502
Mo1 0.500 0.500 0.250
Tc1 0.500 0.500 0.750
```

---

Entry 14:
Material: Mg2TcMo
Method: DFT, PBE
State: relaxed

ΔE to the lowest computed polymorph in meV per atom: 202
VASP energy in eV per atom: -5.834
DOS(E_F) in states/eV/atom: 0.68
Total magnetization in μB/f.u.: 0.0
Calculated formation energy in eV/atom: 0.2626
Symmetry: No. 8

Structure (CIF):
```
data_Mg2TcMo
_cell_length_a 4.776
_cell_length_b 4.776
_cell_length_c 5.324
_cell_angle_alpha 86.70
_cell_angle_beta 86.70
_cell_angle_gamma 33.67
_symmetry_space_group_name_H-M 'P 1'
_symmetry_Int_Tables_number 1
loop_
_symmetry_equiv_pos_as_xyz
'x,y,z'
loop_
_atom_site_label
_atom_site_fract_x
_atom_site_fract_y
_atom_site_fract_z
Mg1 0.997 0.997 0.998
Mg2 0.751 0.751 0.754
Mo1 0.497 0.497 0.474
Tc1 0.255 0.255 0.274
```

---

Entry 15:
Material: MgTcMo2
Method: DFT, PBE
State: relaxed

VASP energy in eV per atom: -8.153
DOS(E_F) in states/eV/atom: 1.32
Total magnetization in μB/f.u.: 0.0
Calculated formation energy in eV/atom: 0.2530
Symmetry: No. 99

Structure (CIF):
```
data_MgTcMo2
_cell_length_a 3.162
_cell_length_b 3.162
_cell_length_c 6.528
_cell_angle_alpha 90.00
_cell_angle_beta 90.00
_cell_angle_gamma 90.00
_symmetry_space_group_name_H-M 'P 1'
_symmetry_Int_Tables_number 1
loop_
_symmetry_equiv_pos_as_xyz
'x,y,z'
loop_
_atom_site_label
_atom_site_fract_x
_atom_site_fract_y
_atom_site_fract_z
Mg1 0.500 0.500 0.742
Mo1 0.000 0.000 0.026
Mo2 0.500 0.500 0.257
Tc1 0.000 0.000 0.474
```